(1)
CaV2I, relaxed, DFT PBE; DOS at the Fermi energy = 4.7 states/eV per cell; SG = No. 225; offset from the most stable computed form = 0.1919 eV per atom; raw formation energy = 3.78 eV/f.u.; magnetic moment = 5.758 Bohr magnetons per cell; E = -0.3310 Ry/atom; crystal system = cubic
1.0
0.000 3.479 3.479
3.479 0.000 3.479
3.479 3.479 0.000
I V Ca
1 2 1
direct
0.500 0.500 0.500 I
0.750 0.750 0.750 V
0.250 0.250 0.250 V
0.000 0.000 0.000 Ca


(2)
PmInPb, relaxed, DFT PBE; DOS at the Fermi energy = 0.6 states/eV per cell; SG = No. 156; formation energy from the elements = -0.353 eV/atom; offset from the most stable computed form = 0.0000 eV per atom; magnetic moment = 0.000 Bohr magnetons per cell; E = -0.3003 Ry/atom; crystal system = trigonal
1.0
4.492 0.000 0.000
0.000 4.796 0.000
0.000 -2.398 4.153
Pb In Pm
1 1 1
direct
0.708 0.333 0.667 Pb
0.970 0.000 0.000 In
0.322 0.667 0.333 Pm


(3)
CrSiAs, relaxed, DFT PBE; DOS at the Fermi energy = 2.1 states/eV per cell; SG = No. 107; raw formation energy = 0.65 eV/f.u.; magnetic moment = 1.694 Bohr magnetons per cell; E = -0.4667 Ry/atom; crystal system = tetragonal
1.0
6.186 0.022 -0.023
5.546 2.740 -0.016
0.640 0.141 2.714
Cr As Si
1 1 1
direct
0.330 0.330 0.670 Cr
0.976 0.976 0.024 As
0.694 0.694 0.306 Si


(4)
TbGdZn4, relaxed, DFT PBE; DOS at the Fermi energy = 2.3 states/eV per cell; SG = No. 216; formation energy from the elements = -0.338 eV/atom; magnetic moment = 7.069 Bohr magnetons per cell; E = -0.3165 Ry/atom; crystal system = cubic
1.0
-4.621 2.141 -2.035
-1.248 -0.702 -5.294
-4.150 -3.289 -1.426
Zn Gd Tb
4 1 1
direct
0.124 0.625 0.625 Zn
0.625 0.625 0.124 Zn
0.625 0.625 0.625 Zn
0.625 0.124 0.625 Zn
0.250 0.250 0.250 Gd
0.000 0.000 0.000 Tb


(5)
ScNi2Ir2, relaxed, DFT PBE; DOS at the Fermi energy = 11.4 states/eV per cell; SG = No. 139; formation energy from the elements = -0.134 eV/atom; offset from the most stable computed form = 0.1185 eV per atom; magnetic moment = 1.872 Bohr magnetons per cell; E = -0.5334 Ry/atom; crystal system = tetragonal
1.0
3.697 0.000 0.000
0.000 3.697 0.000
-1.848 -1.848 11.341
Ni Ir Sc
4 4 2
direct
0.176 0.176 0.351 Ni
0.824 0.824 0.649 Ni
0.500 0.000 0.000 Ni
0.000 0.500 0.000 Ni
0.750 0.250 0.500 Ir
0.073 0.073 0.147 Ir
0.927 0.927 0.853 Ir
0.250 0.750 0.500 Ir
0.375 0.375 0.750 Sc
0.625 0.625 0.250 Sc


(6)
Ca3Ga3Pd2, relaxed, DFT PBE; DOS at the Fermi energy = 16.8 states/eV per cell; SG = No. 62; formation energy from the elements = -0.662 eV/atom; magnetic moment = 0.000 Bohr magnetons per cell; E = -0.2826 Ry/atom; crystal system = orthorhombic
1.0
-3.399 2.964 -3.692
-6.488 -2.594 3.889
0.647 12.326 9.302
Ca Pd Ga
12 8 12
direct
0.882 0.540 0.892 Ca
0.118 0.460 0.392 Ca
0.618 0.040 0.608 Ca
0.618 0.040 0.892 Ca
0.624 0.315 0.250 Ca
0.118 0.460 0.108 Ca
0.382 0.960 0.108 Ca
0.882 0.540 0.608 Ca
0.376 0.685 0.750 Ca
0.382 0.960 0.392 Ca
0.124 0.185 0.750 Ca
0.876 0.815 0.250 Ca
0.888 0.110 0.105 Pd
0.112 0.890 0.895 Pd
0.388 0.390 0.895 Pd
0.888 0.110 0.395 Pd
0.112 0.890 0.605 Pd
0.388 0.390 0.605 Pd
0.612 0.610 0.395 Pd
0.612 0.610 0.105 Pd
0.393 0.682 0.961 Ga
0.893 0.818 0.461 Ga
0.107 0.182 0.961 Ga
0.393 0.682 0.539 Ga
0.889 0.841 0.750 Ga
0.607 0.318 0.461 Ga
0.607 0.318 0.039 Ga
0.893 0.818 0.039 Ga
0.611 0.341 0.750 Ga
0.107 0.182 0.539 Ga
0.111 0.159 0.250 Ga
0.389 0.659 0.250 Ga


Q: Which formula does entry 2 have?
A: PmInPb


Repeat the second record exactly.
PmInPb, relaxed, DFT PBE; DOS at the Fermi energy = 0.6 states/eV per cell; SG = No. 156; formation energy from the elements = -0.353 eV/atom; offset from the most stable computed form = 0.0000 eV per atom; magnetic moment = 0.000 Bohr magnetons per cell; E = -0.3003 Ry/atom; crystal system = trigonal
1.0
4.492 0.000 0.000
0.000 4.796 0.000
0.000 -2.398 4.153
Pb In Pm
1 1 1
direct
0.708 0.333 0.667 Pb
0.970 0.000 0.000 In
0.322 0.667 0.333 Pm


Q: Look up the E of the third one.
A: -0.4667 Ry/atom